VASP calculation (PBE+U) on MnCrCuF2 after structural relaxation.

Lattice parameters (Å, degrees): 4.0016 5.6504 4.0016 90.00 90.00 90.00
Site moments in Bohr magnetons follow the coordinates.
Atoms (fractional coordinates):
1 Cr 0.5000 0.5000 0.5000  4.41
2 Mn 0.0000 0.0000 0.0000  4.60
3 Cu 0.0000 0.5000 0.0000  0.02
4 F 0.0000 0.0000 0.5000  0.06
5 F 0.5000 0.0000 0.0000  0.08

Values from the calculation:
SG: P4/mmm, No. 123
N(E_F): 0.11 states/eV per atom
DFT total energy: -5.48 eV per atom